Record 1
This record from Alexandria via LeMat-Bulk describes a relaxed LaTbPm4Pr2 crystal. The functional is GGA-PBE.

Cell lengths 6.3302, 3.6795, 12.2059 Å; angles 90.00, 100.33, 90.00 degrees
With the nearest neighbours (Å) after each atom.
Positions (direct):
La: 0.0000 0.0000 0.0000  4 Tb 3.66, 6 Pm 3.66, 2 La 3.68
Tb: 0.5000 0.5000 0.0000  6 Pm 3.65-3.67, 4 La 3.66, 2 Tb 3.68
Pm: 0.2493 0.5000 0.2492  6 Pm 3.66-3.68, 2 La 3.66, 1 Tb 3.67, 3 Pr 3.68-3.69
Pm: 0.2518 0.0000 0.7520  2 Tb 3.65, 6 Pm 3.66-3.68, 1 La 3.66, 3 Pr 3.69-3.70
Pm: 0.7482 0.0000 0.2480  2 Tb 3.65, 6 Pm 3.66-3.68, 1 La 3.66, 3 Pr 3.69-3.70
Pm: 0.7507 0.5000 0.7508  6 Pm 3.66-3.68, 2 La 3.66, 1 Tb 3.67, 3 Pr 3.68-3.69
Pr: 0.0000 0.5000 0.5000  6 Pr 3.66-3.68, 6 Pm 3.69
Pr: 0.5000 0.0000 0.5000  6 Pr 3.66-3.68, 6 Pm 3.68-3.70

Results
Formation enthalpy at 0 K = 0.017 eV/atom
Density of states at the Fermi level = 13.0 states/eV/f.u.
ρ = 6.9 g cm⁻³
Calculated total energy = -4.75 eV/atom


Record 2
This record from Alexandria via LeMat-Bulk describes a relaxed Hg2SbP crystal. The functional is GGA-PBE.

Cell lengths 5.0309, 4.0414, 5.0591 Å; angles 90.00, 108.62, 90.00 degrees
With the nearest neighbours (Å) after each atom.
Positions (direct):
Hg: 0.2247 0.0000 0.2748  2 P 2.74, 2 Hg 2.97, 2 Sb 3.03
Hg: 0.7753 0.0000 0.7252  2 P 2.74, 2 Hg 2.97, 2 Sb 3.03
Sb: 0.5000 0.5000 0.0000  2 P 2.94, 4 Hg 3.03
P: 0.0000 0.5000 0.5000  4 Hg 2.74, 2 Sb 2.94

Results
Density of states at the Fermi level = 2.2 states/eV/f.u.
Formation energy (no corrections) = 247 meV/atom
Polymorph energy (0 for the lowest one) = 0.1623 eV per atom
ρ = 9.4 g cm⁻³
Calculated total energy = -2.29 eV/atom


Record 3
This record from Alexandria via LeMat-Bulk describes a relaxed Pr7Nd12Y crystal. The functional is GGA-PBE.

Cell lengths 10.1431, 10.1431, 10.1431 Å; angles 109.47, 109.47, 109.47 degrees
With the nearest neighbours (Å) after each atom.
Positions (direct):
Pr: 0.0000 0.0000 0.5000  6 Nd 2.93
Pr: 0.0000 0.5000 0.0000  6 Nd 2.93
Pr: 0.0000 0.5000 0.5000  12 Nd 4.14-4.19
Pr: 0.5000 0.0000 0.0000  6 Nd 2.93
Pr: 0.5000 0.0000 0.5000  12 Nd 4.14-4.19
Pr: 0.5000 0.5000 0.0000  12 Nd 4.14-4.19
Pr: 0.5000 0.5000 0.5000  6 Nd 2.93
Nd: 0.0000 0.2473 0.7527  2 Pr 2.93
Nd: 0.0000 0.7527 0.2473  2 Pr 2.93
Nd: 0.2473 0.0000 0.7527  2 Pr 2.93
Nd: 0.2473 0.2473 0.4947  2 Pr 2.93
Nd: 0.2473 0.4947 0.2473  2 Pr 2.93
Nd: 0.2473 0.7527 0.0000  2 Pr 2.93
Nd: 0.4947 0.2473 0.2473  2 Pr 2.93
Nd: 0.5053 0.7527 0.7527  2 Pr 2.93
Nd: 0.7527 0.0000 0.2473  2 Pr 2.93
Nd: 0.7527 0.2473 0.0000  2 Pr 2.93
Nd: 0.7527 0.5053 0.7527  2 Pr 2.93
Nd: 0.7527 0.7527 0.5053  2 Pr 2.93
Y: 0.0000 0.0000 0.0000  12 Nd 4.10

Results
Formation enthalpy at 0 K = 0.586 eV/atom
Density of states at the Fermi level = 30.2 states/eV/f.u.
Polymorph energy (0 for the lowest one) = 0.3758 eV per atom
ρ = 5.8 g cm⁻³
Calculated total energy = -4.27 eV/atom


Record 4
This record from Alexandria via LeMat-Bulk describes a relaxed Ca2In2Ag15 crystal. The functional is GGA-PBE.

Cell lengths 7.3771, 7.3771, 7.3771 Å; angles 82.90, 82.90, 82.90 degrees
With the nearest neighbours (Å) after each atom.
Positions (direct):
Ca: 0.1492 0.1492 0.1492  12 Ag 3.37-3.59, 1 In 3.51
Ca: 0.8508 0.8508 0.8508  12 Ag 3.37-3.59, 1 In 3.51
In: 0.3949 0.3949 0.3949  6 Ag 2.95-3.05, 1 In 3.00
In: 0.6051 0.6051 0.6051  6 Ag 2.95-3.05, 1 In 3.00
Ag: 0.0000 0.5000 0.5000  8 Ag 2.83-2.85, 2 In 2.95
Ag: 0.1529 0.1529 0.6620  8 Ag 2.78-2.97, 1 In 3.05
Ag: 0.1529 0.6620 0.1529  8 Ag 2.78-2.97, 1 In 3.05
Ag: 0.1868 0.5000 0.8132  8 Ag 2.83-3.06
Ag: 0.1868 0.8132 0.5000  8 Ag 2.83-3.06
Ag: 0.3380 0.8471 0.8471  8 Ag 2.78-2.97, 1 In 3.05
Ag: 0.5000 0.0000 0.5000  8 Ag 2.83-2.85, 2 In 2.95
Ag: 0.5000 0.1868 0.8132  8 Ag 2.83-3.06
Ag: 0.5000 0.5000 0.0000  8 Ag 2.83-2.85, 2 In 2.95
Ag: 0.5000 0.8132 0.1868  8 Ag 2.83-3.06
Ag: 0.6620 0.1529 0.1529  8 Ag 2.78-2.97, 1 In 3.05
Ag: 0.8132 0.1868 0.5000  8 Ag 2.83-3.06
Ag: 0.8132 0.5000 0.1868  8 Ag 2.83-3.06
Ag: 0.8471 0.3380 0.8471  8 Ag 2.78-2.97, 1 In 3.05
Ag: 0.8471 0.8471 0.3380  8 Ag 2.78-2.97, 1 In 3.05

Results
Formation enthalpy at 0 K = -0.102 eV/atom
Density of states at the Fermi level = 4.9 states/eV/f.u.
ρ = 8.1 g cm⁻³
Calculated total energy = -2.85 eV/atom